Dy7Hg2C2: optimized geometry, PBE. Values from VASP.

The structure in Quantum ESPRESSO input format:
```
&SYSTEM
  ibrav = 0, nat = 11, ntyp = 3
/
ATOMIC_SPECIES
Dy 162.50 Dy.upf
Hg 200.59 Hg.upf
C 12.01 C.upf
CELL_PARAMETERS angstrom
3.8367 -5.5964 0.0000
3.8367 5.5964 0.0000
-0.9873 0.0000 7.7848
ATOMIC_POSITIONS crystal
Dy 0.0000 0.0000 0.0000
Dy 0.0611 0.4413 0.7837
Dy 0.4127 0.4127 0.1879
Dy 0.4413 0.0611 0.7837
Dy 0.5587 0.9389 0.2163
Dy 0.5873 0.5873 0.8121
Dy 0.9389 0.5587 0.2163
Hg 0.3176 0.6824 0.5000
Hg 0.6824 0.3176 0.5000
C 0.2891 0.2891 0.8962
C 0.7109 0.7109 0.1038
```

Values from the calculation:
As for the density of states at the Fermi level: 11.284 states/eV per cell. The crystal system is monoclinic. As for the final energy: -4.6394 eV per atom.

ZnSnBr6: optimized geometry, PBE. Values from VASP.

The structure in Quantum ESPRESSO input format:
```
&SYSTEM
  ibrav = 0, nat = 16, ntyp = 3
/
ATOMIC_SPECIES
Zn 65.41 Zn.upf
Sn 118.71 Sn.upf
Br 79.90 Br.upf
CELL_PARAMETERS angstrom
7.7376 0.0000 0.0000
0.0000 12.1742 0.0000
-3.6538 0.0000 6.6125
ATOMIC_POSITIONS crystal
Zn 0.0000 0.0000 0.0000
Zn 0.5000 0.5000 0.0000
Sn 0.0000 0.0000 0.5000
Sn 0.5000 0.5000 0.5000
Br 0.0029 0.1491 0.2326
Br 0.0029 0.8509 0.2326
Br 0.1236 0.5000 0.3103
Br 0.3764 0.0000 0.6897
Br 0.4971 0.3509 0.7674
Br 0.4971 0.6491 0.7674
Br 0.5029 0.3509 0.2326
Br 0.5029 0.6491 0.2326
Br 0.6236 0.0000 0.3103
Br 0.8764 0.5000 0.6897
Br 0.9971 0.1491 0.7674
Br 0.9971 0.8509 0.7674
```

Values from the calculation:
For the uncorrected formation energy, the calculation gives -4.96 eV/f.u. The crystal system is monoclinic. The calculation puts the energy above the most stable polymorph in this dataset at 0.000 eV per atom. As for the final energy: -2.5347 eV per atom.

SrMnAg2Bi: optimized geometry, PBE. Values from VASP.

The structure in Quantum ESPRESSO input format:
```
&SYSTEM
  ibrav = 0, nat = 5, ntyp = 4
/
ATOMIC_SPECIES
Sr 87.62 Sr.upf
Mn 54.94 Mn.upf
Ag 107.87 Ag.upf
Bi 208.98 Bi.upf
CELL_PARAMETERS angstrom
5.4886 0.0000 0.0000
0.0000 5.4886 0.0000
0.0000 0.0000 5.2066
ATOMIC_POSITIONS crystal
Sr 0.0000 0.0000 0.0000
Mn 0.5000 0.5000 0.0000
Ag 0.0000 0.5000 0.5000
Ag 0.5000 0.0000 0.5000
Bi 0.5000 0.5000 0.5000
```

Values from the calculation:
As for the density of states at the Fermi level: 3.126 states/eV per cell. The crystal system is tetragonal. As for the final energy: -3.6925 eV per atom.

Rb3SbH3: optimized geometry, PBE. Values from VASP.

The structure in Quantum ESPRESSO input format:
```
&SYSTEM
  ibrav = 0, nat = 14, ntyp = 3
/
ATOMIC_SPECIES
Rb 85.47 Rb.upf
Sb 121.76 Sb.upf
H 1.01 H.upf
CELL_PARAMETERS angstrom
4.4783 2.5856 5.8903
-4.4783 2.5856 5.8903
0.0000 -5.1711 5.8903
ATOMIC_POSITIONS crystal
Rb 0.1458 0.7485 0.3548
Rb 0.2515 0.6452 0.8542
Rb 0.3548 0.1458 0.7485
Rb 0.6452 0.8542 0.2515
Rb 0.7485 0.3548 0.1458
Rb 0.8542 0.2515 0.6452
Sb 0.2493 0.2493 0.2493
Sb 0.7507 0.7507 0.7507
H 0.0007 0.4979 0.2500
H 0.2500 0.0007 0.4979
H 0.4979 0.2500 0.0007
H 0.5021 0.7500 0.9993
H 0.7500 0.9993 0.5021
H 0.9993 0.5021 0.7500
```

Values from the calculation:
As for the density of states at the Fermi level: 8.022 states/eV per cell. The crystal system is trigonal. As for the final energy: -2.3314 eV per atom.

CaPmSe2: optimized geometry, PBE. Values from VASP.

The structure in Quantum ESPRESSO input format:
```
&SYSTEM
  ibrav = 0, nat = 8, ntyp = 3
/
ATOMIC_SPECIES
Ca 40.08 Ca.upf
Pm 145.00 Pm.upf
Se 78.96 Se.upf
CELL_PARAMETERS angstrom
4.1290 0.0000 0.0000
-2.0645 3.5758 0.0000
0.0000 0.0000 14.3184
ATOMIC_POSITIONS crystal
Ca 0.3333 0.6667 0.2500
Ca 0.6667 0.3333 0.7500
Pm 0.0000 0.0000 0.0000
Pm 0.0000 0.0000 0.5000
Se 0.3333 0.6667 0.6241
Se 0.3333 0.6667 0.8759
Se 0.6667 0.3333 0.1241
Se 0.6667 0.3333 0.3759
```

Values from the calculation:
As for the density of states at the Fermi level: 2.374 states/eV per cell. For the uncorrected formation energy, the calculation gives -7.42 eV/f.u. The crystal system is hexagonal. The calculation puts the energy above the most stable polymorph in this dataset at 0.052 eV per atom. As for the final energy: -5.2853 eV per atom.

Zn5Ga12Sb3: optimized geometry, PBE. Values from VASP.

The structure in Quantum ESPRESSO input format:
```
&SYSTEM
  ibrav = 0, nat = 80, ntyp = 3
/
ATOMIC_SPECIES
Zn 65.41 Zn.upf
Ga 69.72 Ga.upf
Sb 121.76 Sb.upf
CELL_PARAMETERS angstrom
-7.8406 7.8406 7.8406
7.8406 -7.8406 7.8406
7.8406 7.8406 -7.8406
ATOMIC_POSITIONS crystal
Zn 0.0000 0.0000 0.0000
Zn 0.0000 0.0000 0.5000
Zn 0.0000 0.5000 0.0000
Zn 0.0000 0.5000 0.5000
Zn 0.1250 0.7500 0.8750
Zn 0.1250 0.8750 0.2500
Zn 0.2500 0.1250 0.8750
Zn 0.2500 0.6250 0.3750
Zn 0.3750 0.2500 0.6250
Zn 0.3750 0.6250 0.7500
Zn 0.5000 0.0000 0.0000
Zn 0.5000 0.0000 0.5000
Zn 0.5000 0.5000 0.0000
Zn 0.5000 0.5000 0.5000
Zn 0.6250 0.3750 0.2500
Zn 0.6250 0.7500 0.3750
Zn 0.7500 0.3750 0.6250
Zn 0.7500 0.8750 0.1250
Zn 0.8750 0.1250 0.7500
Zn 0.8750 0.2500 0.1250
Ga 0.0444 0.2142 0.1212
Ga 0.0444 0.3301 0.9232
Ga 0.0768 0.6212 0.4069
Ga 0.0768 0.9556 0.6699
Ga 0.0931 0.7142 0.6699
Ga 0.0931 0.8788 0.4232
Ga 0.1212 0.0444 0.2142
Ga 0.1212 0.5768 0.9069
Ga 0.1699 0.2142 0.5931
Ga 0.1699 0.4556 0.5768
Ga 0.2142 0.1212 0.0444
Ga 0.2142 0.5931 0.1699
Ga 0.2858 0.3301 0.9069
Ga 0.2858 0.4556 0.3788
Ga 0.3301 0.9069 0.2858
Ga 0.3301 0.9232 0.0444
Ga 0.3788 0.2858 0.4556
Ga 0.3788 0.5931 0.9232
Ga 0.4069 0.0768 0.6212
Ga 0.4069 0.8301 0.7858
Ga 0.4232 0.0931 0.8788
Ga 0.4232 0.8301 0.5444
Ga 0.4556 0.3788 0.2858
Ga 0.4556 0.5768 0.1699
Ga 0.5444 0.4232 0.8301
Ga 0.5444 0.6212 0.7142
Ga 0.5768 0.1699 0.4556
Ga 0.5768 0.9069 0.1212
Ga 0.5931 0.1699 0.2142
Ga 0.5931 0.9232 0.3788
Ga 0.6212 0.4069 0.0768
Ga 0.6212 0.7142 0.5444
Ga 0.6699 0.0768 0.9556
Ga 0.6699 0.0931 0.7142
Ga 0.7142 0.5444 0.6212
Ga 0.7142 0.6699 0.0931
Ga 0.7858 0.4069 0.8301
Ga 0.7858 0.8788 0.9556
Ga 0.8301 0.5444 0.4232
Ga 0.8301 0.7858 0.4069
Ga 0.8788 0.4232 0.0931
Ga 0.8788 0.9556 0.7858
Ga 0.9069 0.1212 0.5768
Ga 0.9069 0.2858 0.3301
Ga 0.9232 0.0444 0.3301
Ga 0.9232 0.3788 0.5931
Ga 0.9556 0.6699 0.0768
Ga 0.9556 0.7858 0.8788
Sb 0.1250 0.2500 0.3750
Sb 0.1250 0.3750 0.7500
Sb 0.2500 0.3750 0.1250
Sb 0.2500 0.8750 0.6250
Sb 0.3750 0.1250 0.2500
Sb 0.3750 0.7500 0.1250
Sb 0.6250 0.2500 0.8750
Sb 0.6250 0.8750 0.7500
Sb 0.7500 0.1250 0.3750
Sb 0.7500 0.6250 0.8750
Sb 0.8750 0.6250 0.2500
Sb 0.8750 0.7500 0.6250
```

Values from the calculation:
As for the density of states at the Fermi level: 28.667 states/eV per cell. For the uncorrected formation energy, the calculation gives 3.09 eV/f.u. The crystal system is cubic. As for the final energy: -2.5986 eV per atom.